Record 1
{"formula": "TlFeSe2N", "functional": "GGA-PBE", "state": "relaxed", "space_group": "P4/mmm", "e_tot_ev_per_cell": -18.42, "magmom_total_mub_per_fu": 6.01, "relative_energy_mev_per_atom": 1334, "formation_energy_uncorrected_kj_per_mol_atoms": 148.6, "cell": [[5.4592, 0.0000, 0.0000], [0.0000, 5.4592, 0.0000], [0.0000, 0.0000, 4.2133]], "species": ["Tl", "Fe", "Se", "Se", "N"], "frac_coords": [[0.0000, 0.0000, 0.0000], [0.5000, 0.5000, 0.5000], [0.0000, 0.5000, 0.0000], [0.5000, 0.0000, 0.0000], [0.0000, 0.0000, 0.5000]]}


Record 2
{"formula": "IrC2", "functional": "GGA-PBE", "state": "relaxed", "space_group": "Pmmm", "e_tot_ev_per_cell": -24.40, "magmom_total_mub_per_fu": 0.00, "relative_energy_mev_per_atom": 381, "formation_energy_mev_per_atom": 971, "cell": [[2.7280, 0.0000, 0.0000], [0.0000, 2.8839, 0.0000], [0.0000, 0.0000, 4.3640]], "species": ["Ir", "C", "C"], "frac_coords": [[0.0000, 0.0000, 0.0000], [0.5000, 0.0000, 0.3484], [0.5000, 0.0000, 0.6516]]}


Record 3
{"formula": "LiGa2Pd3", "functional": "GGA-PBE", "state": "relaxed", "space_group": "Cmmm", "e_tot_ev_per_cell": -54.66, "magmom_total_mub_per_fu": 0.00, "relative_energy_mev_per_atom": 0, "formation_energy_mev_per_atom": -630, "cell": [[2.1965, -6.5895, 0.0000], [2.1965, 6.5895, 0.0000], [0.0000, 0.0000, 5.9789]], "species": ["Li", "Li", "Ga", "Ga", "Ga", "Ga", "Pd", "Pd", "Pd", "Pd", "Pd", "Pd"], "frac_coords": [[0.1674, 0.8326, 0.0000], [0.8326, 0.1674, 0.0000], [0.1685, 0.8315, 0.5000], [0.5000, 0.5000, 0.0000], [0.5000, 0.5000, 0.5000], [0.8315, 0.1685, 0.5000], [0.0000, 0.0000, 0.2540], [0.0000, 0.0000, 0.7460], [0.3354, 0.6646, 0.2537], [0.3354, 0.6646, 0.7463], [0.6646, 0.3354, 0.2537], [0.6646, 0.3354, 0.7463]]}


Record 4
{"formula": "HoTm3O6", "functional": "GGA-PBE", "state": "relaxed", "space_group": "R-3", "e_tot_ev_per_cell": -167.93, "magmom_total_mub_per_fu": 0.00, "formation_energy_uncorrected_kj_per_mol_atoms": -349.5, "cell": [[4.7485, 2.7416, 3.7316], [-4.7485, 2.7416, 3.7316], [0.0000, -5.4831, 3.7316]], "species": ["Ho", "Ho", "Tm", "Tm", "Tm", "Tm", "Tm", "Tm", "O", "O", "O", "O", "O", "O", "O", "O", "O", "O", "O", "O"], "frac_coords": [[0.0000, 0.0000, 0.0000], [0.5000, 0.5000, 0.5000], [0.0558, 0.7514, 0.5639], [0.2486, 0.4361, 0.9442], [0.4361, 0.9442, 0.2486], [0.5639, 0.0558, 0.7514], [0.7514, 0.5639, 0.0558], [0.9442, 0.2486, 0.4361], [0.0289, 0.6802, 0.8967], [0.1033, 0.9711, 0.3198], [0.1824, 0.4273, 0.5966], [0.3198, 0.1033, 0.9711], [0.4034, 0.8176, 0.5727], [0.4273, 0.5966, 0.1824], [0.5727, 0.4034, 0.8176], [0.5966, 0.1824, 0.4273], [0.6802, 0.8967, 0.0289], [0.8176, 0.5727, 0.4034], [0.8967, 0.0289, 0.6802], [0.9711, 0.3198, 0.1033]]}


Record 5
{"formula": "SrPm3Al8", "functional": "GGA-PBE", "state": "relaxed", "space_group": "R3m", "e_tot_ev_per_cell": -51.10, "magmom_total_mub_per_fu": 0.00, "relative_energy_mev_per_atom": 0, "formation_energy_mev_per_atom": -435, "cell": [[2.8459, 1.6431, 9.3267], [-2.8459, 1.6431, 9.3267], [0.0000, -3.2862, 9.3267]], "species": ["Sr", "Pm", "Pm", "Pm", "Al", "Al", "Al", "Al", "Al", "Al", "Al", "Al"], "frac_coords": [[0.0000, 0.0000, 0.0000], [0.3743, 0.3743, 0.3743], [0.4998, 0.4998, 0.4998], [0.8761, 0.8761, 0.8761], [0.1876, 0.1876, 0.1876], [0.4364, 0.4364, 0.9341], [0.4364, 0.9341, 0.4364], [0.4410, 0.9382, 0.9382], [0.6875, 0.6875, 0.6875], [0.9341, 0.4364, 0.4364], [0.9382, 0.4410, 0.9382], [0.9382, 0.9382, 0.4410]]}


Record 6
{"formula": "AcReB2O8", "functional": "GGA-PBE", "state": "relaxed", "space_group": "C2/m", "e_tot_ev_per_cell": -96.83, "magmom_total_mub_per_fu": 0.00, "formation_energy_uncorrected_kj_per_mol_atoms": -219.1, "cell": [[3.9541, -2.4940, 0.0000], [3.9541, 2.4940, 0.0000], [-0.5379, 0.0000, 7.3678]], "species": ["Ac", "Re", "B", "B", "O", "O", "O", "O", "O", "O", "O", "O"], "frac_coords": [[0.0000, 0.0000, 0.0000], [0.0000, 0.0000, 0.5000], [0.3641, 0.3641, 0.7202], [0.6359, 0.6359, 0.2798], [0.2267, 0.2267, 0.5706], [0.2342, 0.7117, 0.6850], [0.2883, 0.7658, 0.3150], [0.3091, 0.3091, 0.8958], [0.6909, 0.6909, 0.1042], [0.7117, 0.2342, 0.6850], [0.7658, 0.2883, 0.3150], [0.7733, 0.7733, 0.4294]]}


Record 7
{"formula": "TaPRu2", "functional": "GGA-PBE", "state": "relaxed", "space_group": "P4/mmm", "e_tot_ev_per_cell": -36.69, "magmom_total_mub_per_fu": 0.00, "formation_energy_mev_per_atom": -220, "cell": [[3.1663, 0.0000, 0.0000], [0.0000, 3.1663, 0.0000], [0.0000, 0.0000, 5.8735]], "species": ["Ta", "P", "Ru", "Ru"], "frac_coords": [[0.0000, 0.0000, 0.0000], [0.0000, 0.0000, 0.5000], [0.5000, 0.5000, 0.2598], [0.5000, 0.5000, 0.7402]]}


Record 8
{"formula": "TbAl2Rh", "functional": "GGA-PBE", "state": "relaxed", "space_group": "Pnma", "e_tot_ev_per_cell": -182.04, "magmom_total_mub_per_fu": 0.00, "formation_energy_mev_per_atom": -822, "cell": [[15.1096, 0.0000, 0.0000], [0.0000, 7.1147, 0.0000], [0.0000, 0.0000, 5.6347]], "species": ["Tb", "Tb", "Tb", "Tb", "Tb", "Tb", "Tb", "Tb", "Al", "Al", "Al", "Al", "Al", "Al", "Al", "Al", "Al", "Al", "Al", "Al", "Al", "Al", "Al", "Al", "Rh", "Rh", "Rh", "Rh", "Rh", "Rh", "Rh", "Rh"], "frac_coords": [[0.1008, 0.2500, 0.2361], [0.1383, 0.7500, 0.4579], [0.3617, 0.2500, 0.9579], [0.3992, 0.7500, 0.7361], [0.6008, 0.2500, 0.2639], [0.6383, 0.7500, 0.0421], [0.8617, 0.2500, 0.5421], [0.8992, 0.7500, 0.7639], [0.0425, 0.0590, 0.7532], [0.0425, 0.4410, 0.7532], [0.2108, 0.5517, 0.9334], [0.2108, 0.9483, 0.9334], [0.2892, 0.0517, 0.4334], [0.2892, 0.4483, 0.4334], [0.4575, 0.5590, 0.2532], [0.4575, 0.9410, 0.2532], [0.5425, 0.0590, 0.7468], [0.5425, 0.4410, 0.7468], [0.7108, 0.5517, 0.5666], [0.7108, 0.9483, 0.5666], [0.7892, 0.0517, 0.0666], [0.7892, 0.4483, 0.0666], [0.9575, 0.5590, 0.2468], [0.9575, 0.9410, 0.2468], [0.0712, 0.7500, 0.9903], [0.1890, 0.2500, 0.6989], [0.3110, 0.7500, 0.1989], [0.4288, 0.2500, 0.4903], [0.5712, 0.7500, 0.5097], [0.6890, 0.2500, 0.8011], [0.8110, 0.7500, 0.3011], [0.9288, 0.2500, 0.0097]]}


Please write out number 3 again, unchanged.
{"formula": "LiGa2Pd3", "functional": "GGA-PBE", "state": "relaxed", "space_group": "Cmmm", "e_tot_ev_per_cell": -54.66, "magmom_total_mub_per_fu": 0.00, "relative_energy_mev_per_atom": 0, "formation_energy_mev_per_atom": -630, "cell": [[2.1965, -6.5895, 0.0000], [2.1965, 6.5895, 0.0000], [0.0000, 0.0000, 5.9789]], "species": ["Li", "Li", "Ga", "Ga", "Ga", "Ga", "Pd", "Pd", "Pd", "Pd", "Pd", "Pd"], "frac_coords": [[0.1674, 0.8326, 0.0000], [0.8326, 0.1674, 0.0000], [0.1685, 0.8315, 0.5000], [0.5000, 0.5000, 0.0000], [0.5000, 0.5000, 0.5000], [0.8315, 0.1685, 0.5000], [0.0000, 0.0000, 0.2540], [0.0000, 0.0000, 0.7460], [0.3354, 0.6646, 0.2537], [0.3354, 0.6646, 0.7463], [0.6646, 0.3354, 0.2537], [0.6646, 0.3354, 0.7463]]}